Here is a geometry-optimized Cu3Ag5 structure from the Open Quantum Materials Database. Energies are from PBE.

Output
The distance to the lowest polymorph of the same formula comes out at 0.068 eV per atom.

Lattice parameters (Å, degrees): 5.612 5.612 5.612 60.55 60.55 60.55
Fractional positions:
Cu1 0.000 0.500 0.500
Cu2 0.500 0.000 0.500
Cu3 0.500 0.500 0.000
Ag1 0.000 0.000 0.000
Ag2 0.000 0.000 0.500
Ag3 0.000 0.500 0.000
Ag4 0.500 0.000 0.000
Ag5 0.500 0.500 0.500

---

Here is a geometry-optimized Cu4Ag5 structure from the Open Quantum Materials Database. Energies are from PBE.

Output
The distance to the lowest polymorph of the same formula comes out at 0.042 eV per atom.

Lattice parameters (Å, degrees): 5.989 5.989 8.627 103.87 103.87 27.26
Fractional positions:
Cu1 0.000 0.000 0.000
Cu2 0.001 0.001 0.300
Cu3 0.008 0.008 0.663
Cu4 0.348 0.348 0.101
Ag1 0.347 0.347 0.773
Ag2 0.355 0.355 0.437
Ag3 0.659 0.659 0.535
Ag4 0.666 0.666 0.882
Ag5 0.674 0.674 0.207

---

Here is a geometry-optimized Cu3Ag2 structure from the Open Quantum Materials Database. Energies are from PBE.

Output
The distance to the lowest polymorph of the same formula comes out at 0.049 eV per atom.

Lattice parameters (Å, degrees): 4.769 4.769 8.642 91.39 91.39 46.77
Fractional positions:
Cu1 0.000 0.000 0.000
Cu2 0.307 0.307 0.086
Cu3 0.411 0.411 0.815
Cu4 0.508 0.508 0.526
Cu5 0.721 0.721 0.906
Cu6 0.816 0.816 0.624
Ag1 0.111 0.111 0.721
Ag2 0.212 0.212 0.421
Ag3 0.609 0.609 0.189
Ag4 0.911 0.911 0.308

---

Here is a geometry-optimized CuAg structure from the Open Quantum Materials Database. Energies are from PBE.

Lattice parameters (Å, degrees): 6.784 2.811 8.104 90.00 104.17 90.00
Fractional positions:
Cu1 0.000 0.000 0.000
Cu2 0.106 0.500 0.280
Cu3 0.386 0.000 0.203
Cu4 0.614 0.000 0.797
Cu5 0.894 0.500 0.720
Ag1 0.191 0.000 0.600
Ag2 0.298 0.500 0.910
Ag3 0.500 0.500 0.500
Ag4 0.702 0.500 0.090
Ag5 0.809 0.000 0.400

---

ΔH_f (0 K): 0.11; 0.08; 0.09; 0.10 (eV/atom)
Calculated volume: 15.82; 15.26; 14.31; 14.98 (A^3/atom)